## Cr2Ir2Rh (PBE)

Data for a relaxed structure of Cr2Ir2Rh.

Structure (POSCAR):
```
Cr2Ir2Rh
1.0
7.144 0.000 0.000
0.000 7.144 0.000
0.000 0.000 2.707
Cr Ir Rh
4 4 2
direct
0.119 0.381 0.000
0.381 0.881 0.000
0.619 0.119 0.000
0.881 0.619 0.000
0.173 0.673 0.500
0.327 0.173 0.500
0.673 0.827 0.500
0.827 0.327 0.500
0.000 0.000 0.000
0.500 0.500 0.000
```

Raw total energy   -88.56 eV for the cell shown
E above lowest polymorph   21 meV per atom
SG   P4/mbm, No. 127
DOS at the Fermi energy   11.32 states/eV per cell
ΔH_f (0 K)   8 meV/atom